[1]
This record from Alexandria via LeMat-Bulk describes a geometry-optimized CaBePb structure. The functional is GGA-PBEsol.

Computed properties:
The calculation puts the formation energy at -3.2 kcal/mol of atoms. The symmetry is P-6m2, No. 187. The crystal system is hexagonal.

a b c (Å): 4.264 4.264 4.424
angles (deg): 90.00 90.00 120.00
Atoms (fractional coordinates):
Pb 0.667 0.333 0.500
Be 0.000 0.000 0.500
Ca 0.333 0.667 0.000

=====

[2]
This record from Alexandria via LeMat-Bulk describes a geometry-optimized CaBePd3 structure. The functional is GGA-PBEsol.

Computed properties:
The calculation puts the formation energy at -12.9 kcal/mol of atoms. The symmetry is Pm-3m, No. 221. The crystal system is cubic.

a b c (Å): 4.287 4.287 4.287
angles (deg): 90.00 90.00 90.00
Atoms (fractional coordinates):
Pd 0.000 0.000 0.500
Pd 0.500 0.000 0.000
Pd 0.000 0.500 0.000
Be 0.000 0.000 0.000
Ca 0.500 0.500 0.500